No. 1
Density functional theory data (PBE-GGA) for a relaxed MnPtAu crystal.

energy relative to the lowest polymorph listed for this composition	0.112	eV per formula unit

a = 2.9609 Å, b = 14.1532 Å, c = 4.6230 Å
α = 90.00°, β = 90.00°, γ = 90.00°
Space group Cmcm (No. 63)
Unique sites:
1 Mn 0.0000 0.1122 0.2500 x4
2 Pt 0.0000 0.2339 0.7500 x4
3 Au 0.0000 0.4422 0.2500 x4

---

No. 2
Density functional theory data (PBE-GGA) for a relaxed MnPtAu3 crystal.

energy relative to the lowest polymorph listed for this composition	5.530	eV per formula unit

a = 4.7928 Å, b = 4.7928 Å, c = 4.7928 Å
α = 90.00°, β = 90.00°, γ = 90.00°
Space group Pm-3m (No. 221)
Unique sites:
1 Mn 0.0000 0.0000 0.0000 x1
2 Pt 0.5000 0.5000 0.5000 x1
3 Au 0.0000 0.0000 0.5000 x3

---

No. 3
Density functional theory data (PBE-GGA) for a relaxed MnPt2Au2 crystal.

energy relative to the lowest polymorph listed for this composition	0.946	eV per formula unit

a = 3.7750 Å, b = 3.7750 Å, c = 13.3249 Å
α = 90.00°, β = 90.00°, γ = 90.00°
Space group I4/mmm (No. 139)
Unique sites:
1 Mn 0.0000 0.0000 0.0000 x2
2 Pt 0.0000 0.0000 0.4054 x4
3 Au 0.0000 0.5000 0.2500 x4

---

No. 4
Density functional theory data (PBE-GGA) for a relaxed Mn4PtAu crystal.

a = 6.8104 Å, b = 6.8104 Å, c = 6.8104 Å
α = 90.00°, β = 90.00°, γ = 90.00°
Space group F-43m (No. 216)
Unique sites:
1 Mn 0.1252 0.1252 0.1252 x16
2 Pt 0.2500 0.2500 0.7500 x4
3 Au 0.0000 0.0000 0.5000 x4

---

No. 5
Density functional theory data (PBE-GGA) for a relaxed MnPtAu crystal.

energy relative to the lowest polymorph listed for this composition	0.730	eV per formula unit

a = 4.3493 Å, b = 4.3493 Å, c = 5.7818 Å
α = 90.00°, β = 90.00°, γ = 90.00°
Space group I-4m2 (No. 119)
Unique sites:
1 Mn 0.0000 0.0000 0.0000 x2
2 Pt 0.0000 0.5000 0.7500 x2
3 Au 0.0000 0.5000 0.2500 x2

---

No. 6
Density functional theory data (PBE-GGA) for a relaxed MnPtAu crystal.

energy relative to the lowest polymorph listed for this composition	0.940	eV per formula unit

a = 6.1859 Å, b = 6.1859 Å, c = 6.1859 Å
α = 90.00°, β = 90.00°, γ = 90.00°
Space group F-43m (No. 216)
Unique sites:
1 Mn 0.0000 0.0000 0.0000 x4
2 Pt 0.2500 0.2500 0.2500 x4
3 Au 0.0000 0.0000 0.5000 x4

---

No. 7
Density functional theory data (PBE-GGA) for a relaxed Mn2PtAu crystal.

energy relative to the lowest polymorph listed for this composition	5.621	eV per formula unit

a = 5.5373 Å, b = 5.5373 Å, c = 10.5009 Å
α = 90.00°, β = 90.00°, γ = 90.00°
Space group I-42d (No. 122)
Unique sites:
1 Mn 0.2335 0.2500 0.1250 x8
2 Pt 0.0000 0.0000 0.0000 x4
3 Au 0.0000 0.0000 0.5000 x4

---

No. 8
Density functional theory data (PBE-GGA) for a relaxed Mn2PtAu4 crystal.

a = 9.3523 Å, b = 3.8525 Å, c = 6.5428 Å
α = 90.00°, β = 96.85°, γ = 90.00°
Space group C2/m (No. 12)
Unique sites:
1 Mn 0.0714 0.0000 0.2292 x4
2 Pt 0.0000 0.5000 0.5000 x2
3 Au 0.1356 0.5000 0.9313 x4
4 Au 0.2156 0.0000 0.6452 x4

---

No. 9
Density functional theory data (PBE-GGA) for a relaxed MnPtAu4 crystal.

energy relative to the lowest polymorph listed for this composition	0.000	eV per formula unit

a = 7.2118 Å, b = 4.9790 Å, c = 5.8187 Å
α = 90.00°, β = 99.24°, γ = 90.00°
Space group P2/c (No. 13)
Unique sites:
1 Mn 0.0000 0.1003 0.2500 x2
2 Pt 0.5000 0.4119 0.2500 x2
3 Au 0.1639 0.3987 0.9210 x4
4 Au 0.3262 0.0944 0.5799 x4

---

No. 10
Density functional theory data (PBE-GGA) for a relaxed Mn2PtAu crystal.

energy relative to the lowest polymorph listed for this composition	0.988	eV per formula unit

a = 2.8239 Å, b = 2.8239 Å, c = 27.0976 Å
α = 90.00°, β = 90.00°, γ = 120.00°
Space group R3m (No. 160, hexagonal axes)
Unique sites:
1 Mn 0.0000 0.0000 0.0000 x3
2 Mn 0.0000 0.0000 0.2548 x3
3 Pt 0.0000 0.0000 0.7457 x3
4 Au 0.0000 0.0000 0.5043 x3

---

No. 11
Density functional theory data (PBE-GGA) for a relaxed MnPt3Au2 crystal.

a = 4.0183 Å, b = 12.1432 Å, c = 7.9601 Å
α = 90.00°, β = 90.00°, γ = 90.00°
Space group Cmmm (No. 65)
Unique sites:
1 Mn 0.0000 0.1622 0.0000 x4
2 Pt 0.0000 0.0000 0.2448 x4
3 Pt 0.0000 0.3296 0.2307 x8
4 Au 0.0000 0.1685 0.5000 x4
5 Au 0.0000 0.5000 0.0000 x2
6 Au 0.0000 0.5000 0.5000 x2

---

No. 12
Density functional theory data (PBE-GGA) for a relaxed MnPtAu4 crystal.

energy relative to the lowest polymorph listed for this composition	1.394	eV per formula unit

a = 7.6557 Å, b = 7.6557 Å, c = 7.6557 Å
α = 90.00°, β = 90.00°, γ = 90.00°
Space group F-43m (No. 216)
Unique sites:
1 Mn 0.0000 0.0000 0.0000 x4
2 Pt 0.2500 0.2500 0.7500 x4
3 Au 0.1250 0.1250 0.3750 x16

---

Formation energy from the elements
In order: -167, 1061, 223, 165, 39, 109, 1230, -124, -4, 72, -131, 229
Unit: meV per atom
Size of the total moment
In order: 16.937, 4.408, 9.606, 27.470, 8.351, 17.775, 1.180, 16.957, 8.638, 22.212, 18.048, 19.101
Unit: Bohr magnetons per cell